1.
DFT (GGA-PBE) results for a relaxed Ce2ErPu3Se6 crystal.

Cell: 4.1373 8.3239 9.2602 Å, 102.64 102.91 90.00°
Last column: magnetic moment on the atom in μB.
Positions (direct):
Ce 0.8341 0.6672 0.6682  0.89
Ce 0.1659 0.3328 0.3318  0.89
Er 0.5000 0.0000 0.0000  0.02
Pu 0.5000 0.5000 0.0000  5.48
Pu 0.8312 0.1667 0.6623  5.42
Pu 0.1688 0.8333 0.3377  5.42
Se 0.3364 0.9230 0.6728  -0.05
Se 0.6653 0.5872 0.3305  -0.06
Se 0.6636 0.0770 0.3272  -0.05
Se 0.9974 0.2425 0.9949  -0.05
Se 0.0026 0.7575 0.0051  -0.05
Se 0.3347 0.4128 0.6695  -0.06

Computed properties:
Uncorrected formation energy in meV per atom: -1664
Space group: C2/m
Calculated total energy in eV/atom: -8.359
Total magnetization in μB per cell: 19.321

2.
DFT (GGA-PBE) results for a relaxed BaHgP crystal.

Cell: 6.1428 6.1428 6.1428 Å, 144.94 139.22 54.85°
Positions (direct):
Ba 0.9929 0.9929 0.0000
Hg 0.6850 0.6850 0.0000
P 0.3221 0.3221 0.0000

Computed properties:
Space group: Imm2
Calculated total energy in eV/atom: -2.834
E above lowest polymorph in meV per atom: 241
Total magnetization in μB per cell: 0.000
E_form in eV/atom: -0.2894

3.
DFT (GGA-PBE) results for a relaxed CsAlHg2S4 crystal.

Cell: 6.4138 6.9748 6.9748 Å, 83.22 62.63 62.63°
Positions (direct):
Cs 0.0000 0.0000 0.0000
Al 0.0000 0.5000 0.5000
Hg 0.5000 0.6703 0.3297
Hg 0.5000 0.3297 0.6703
S 0.6383 0.5195 0.8105
S 0.3617 0.1895 0.4805
S 0.9683 0.4805 0.1895
S 0.0317 0.8105 0.5195

Computed properties:
Uncorrected formation energy in meV per atom: -719
Space group: I222
Calculated total energy in eV/atom: -3.432
Total magnetization in μB per cell: 0.000

4.
DFT (GGA-PBE) results for a relaxed GdThNi4 crystal.

Cell: 5.1363 5.1363 5.1363 Å, 60.00 60.00 60.00°
Last column: magnetic moment on the atom in μB.
Positions (direct):
Ni 0.6253 0.6253 0.1241  0.00
Ni 0.6253 0.1241 0.6253  0.00
Ni 0.6253 0.6253 0.6253  0.00
Ni 0.1241 0.6253 0.6253  0.00
Gd 0.0000 0.0000 0.0000  -6.99
Th 0.2500 0.2500 0.2500  -0.04

Computed properties:
Space group: F-43m
Calculated total energy in eV/atom: -7.821
Total magnetization in μB per cell: 7.137
E_form in eV/atom: -0.3838

Number 1: DOS(E_F) 32.76 states/eV/cell. Number 2: DOS(E_F) 1.64 states/eV/cell. Number 3: DOS(E_F) 0.00 states/eV/cell. Number 4: DOS(E_F) 3.65 states/eV/cell.